Density functional theory data (GGA-PBE) for a relaxed structure of CaGeTe4Pb2.

Cell: 7.8404 4.5046 7.8492 Å, 90.00 109.33 90.00°
Last column: nearest neighbours and their distance in Å.
Atoms (fractional coordinates):
1 Ca 0.0000 0.0000 0.0000  6 Te 3.16-3.17
2 Ge 0.5000 0.5000 0.0000  6 Te 3.08
3 Te 0.2532 0.5000 0.2343  1 Ge 3.08, 2 Ca 3.16, 3 Pb 3.24-3.32
4 Te 0.2653 0.0000 0.7711  2 Ge 3.08, 1 Ca 3.17, 3 Pb 3.24-3.32
5 Te 0.7347 0.0000 0.2289  2 Ge 3.08, 1 Ca 3.17, 3 Pb 3.24-3.32
6 Te 0.7468 0.5000 0.7657  1 Ge 3.08, 2 Ca 3.16, 3 Pb 3.24-3.32
7 Pb 0.0000 0.5000 0.5000  6 Te 3.32
8 Pb 0.5000 0.0000 0.5000  6 Te 3.24

Computed properties:
Volume   32.7 Å³/atom
E_form (uncorrected)   -603.3 meV per atom
Crystal system   monoclinic
Electronic total energy   -3.93 eV per atom



Density functional theory data (GGA-PBE) for a relaxed structure of Ca2GeTe4Pb.

Cell: 7.8006 4.4927 7.8301 Å, 90.00 109.31 90.00°
Last column: nearest neighbours and their distance in Å.
Atoms (fractional coordinates):
1 Ca 0.0000 0.0000 0.0000  6 Te 3.15
2 Ca 0.5000 0.5000 0.0000  6 Te 3.26
3 Ge 0.0000 0.5000 0.5000  6 Te 3.12
4 Te 0.2356 0.0000 0.7417  2 Ge 3.12, 3 Ca 3.15-3.26, 1 Pb 3.23
5 Te 0.2380 0.5000 0.2492  1 Ge 3.12, 3 Ca 3.15-3.26, 2 Pb 3.23
6 Te 0.7620 0.5000 0.7508  1 Ge 3.12, 3 Ca 3.15-3.26, 2 Pb 3.23
7 Te 0.7644 0.0000 0.2583  2 Ge 3.12, 3 Ca 3.15-3.26, 1 Pb 3.23
8 Pb 0.5000 0.0000 0.5000  6 Te 3.23

Computed properties:
Volume   32.4 Å³/atom
E_form (uncorrected)   -889.4 meV per atom
Crystal system   monoclinic
Electronic total energy   -4.00 eV per atom



Density functional theory data (GGA-PBE) for a relaxed structure of Ca3GePd2.

Cell: 4.0218 4.5441 15.5346 Å, 90.00 90.00 90.00°
Last column: nearest neighbours and their distance in Å.
Atoms (fractional coordinates):
1 Ca 0.0000 0.0000 0.0000  4 Pd 2.87, 4 Ge 3.03
2 Ca 0.0000 0.5000 0.1731  5 Pd 3.04-3.10, 2 Ge 3.36
3 Ca 0.0000 0.5000 0.8269  5 Pd 3.04-3.10, 2 Ge 3.36
4 Ca 0.5000 0.0000 0.3269  5 Pd 3.04-3.10, 2 Ge 3.36
5 Ca 0.5000 0.0000 0.6731  5 Pd 3.04-3.10, 2 Ge 3.36
6 Ca 0.5000 0.5000 0.5000  4 Pd 2.87, 4 Ge 3.03
7 Ge 0.0000 0.0000 0.5000  8 Ca 3.03-3.36, 4 Pd 3.05
8 Ge 0.5000 0.5000 0.0000  8 Ca 3.03-3.36, 4 Pd 3.05
9 Pd 0.0000 0.5000 0.3686  7 Ca 2.87-3.10, 2 Ge 3.05
10 Pd 0.0000 0.5000 0.6314  7 Ca 2.87-3.10, 2 Ge 3.05
11 Pd 0.5000 0.0000 0.1314  7 Ca 2.87-3.10, 2 Ge 3.05
12 Pd 0.5000 0.0000 0.8686  7 Ca 2.87-3.10, 2 Ge 3.05

Computed properties:
Volume   23.7 Å³/atom
Crystal system   orthorhombic
Electronic total energy   -4.08 eV per atom
Energy of formation   -3.47 eV per formula unit